[1]
Here is NbAu after structural relaxation from the Open Quantum Materials Database. Energies are from GGA-PBE.

The structure in extended XYZ format:
```
2
Lattice="1.9897 2.3733 2.8543 -1.6926 3.6467 1.2551 -1.5642 0.3661 3.8933" Properties=species:S:1:pos:R:3 pbc="T T T"
Nb -0.3168 1.5965 2.0007
Au 0.0000 0.0000 0.0000
```

Values from the calculation:
The formation energy from the elements is 1206.6 meV/atom.



[2]
Here is NbAu2 after structural relaxation from the Open Quantum Materials Database. Energies are from GGA-PBE.

The structure in extended XYZ format:
```
6
Lattice="0.0000 3.8086 3.8086 3.8086 0.0000 3.8086 3.8086 3.8086 0.0000" Properties=species:S:1:pos:R:3 pbc="T T T"
Nb 1.9043 1.9043 1.9043
Nb 0.0000 0.0000 0.0000
Au 2.8564 4.7607 2.8564
Au 4.7607 2.8564 2.8564
Au 4.7607 4.7607 4.7607
Au 2.8564 2.8564 4.7607
```

Values from the calculation:
The formation energy from the elements is 336.0 meV/atom.



[3]
Here is NbAu after structural relaxation from the Open Quantum Materials Database. Energies are from GGA-PBE.

The structure in extended XYZ format:
```
2
Lattice="-2.6759 1.1526 -0.0057 0.3444 -2.8817 0.2565 0.1832 0.4492 4.8000" Properties=species:S:1:pos:R:3 pbc="T T T"
Nb -0.6166 -1.4246 1.3691
Au -1.5317 0.1447 3.6817
```

Values from the calculation:
The formation energy from the elements is 34.2 meV/atom.



[4]
Here is NdNbAu after structural relaxation from the Open Quantum Materials Database. Energies are from GGA-PBE.

The structure in extended XYZ format:
```
3
Lattice="2.3005 -2.3624 3.3510 -1.8509 -0.3731 4.3055 -1.6392 -4.1420 1.5032" Properties=species:S:1:pos:R:3 pbc="T T T"
Au -0.2974 -1.7194 2.2900
Nd -0.8922 -5.1581 6.8698
Nb 0.0000 0.0000 0.0000
```

Values from the calculation:
The formation energy from the elements is 581.2 meV/atom.



[5]
Here is Nb2NiAu after structural relaxation from the Open Quantum Materials Database. Energies are from GGA-PBE.

The structure in extended XYZ format:
```
4
Lattice="0.0000 3.1924 3.1924 3.1924 0.0000 3.1924 3.1924 3.1924 0.0000" Properties=species:S:1:pos:R:3 pbc="T T T"
Au 3.1924 3.1924 3.1924
Ni 1.5962 1.5962 1.5962
Nb 4.7886 4.7886 4.7886
Nb 0.0000 0.0000 0.0000
```

Values from the calculation:
The formation energy from the elements is 150.1 meV/atom.



[6]
Here is NbNiSnAu after structural relaxation from the Open Quantum Materials Database. Energies are from GGA-PBE.

The structure in extended XYZ format:
```
4
Lattice="-3.4297 -1.4714 2.6926 -0.3537 1.5384 4.3228 -3.4128 2.8646 1.1509" Properties=species:S:1:pos:R:3 pbc="T T T"
Au -3.5981 1.4658 4.0831
Ni -5.3971 2.1987 6.1247
Sn 0.0000 0.0000 0.0000
Nb -1.7990 0.7329 2.0416
```

Values from the calculation:
Its total DFT energy (no corrections) is -5.675 eV/atom.



[7]
Here is NbAuO3 after structural relaxation from the Open Quantum Materials Database. Energies are from GGA-PBE.

The structure in extended XYZ format:
```
10
Lattice="2.9015 1.4596 -4.3629 1.6032 -3.7645 -3.5837 -2.9707 -0.0654 -5.3879" Properties=species:S:1:pos:R:3 pbc="T T T"
Nb 2.4823 -1.9870 -9.1852
Nb -0.9484 -0.3832 -4.1493
O -1.3193 -1.6655 -5.5557
O 0.4724 -2.4699 -8.6875
O 0.2974 1.0279 -7.5043
O 2.8532 -0.7048 -7.7788
O 1.2365 -3.3982 -5.8302
O 1.0616 0.0996 -4.6470
Au 2.5180 -1.4603 -5.5949
Au -0.9840 -0.9099 -7.7397
```

Values from the calculation:
Its total DFT energy (no corrections) is -7.125 eV/atom.



[8]
Here is RbNbAuO3 after structural relaxation from the Open Quantum Materials Database. Energies are from GGA-PBE.

The structure in extended XYZ format:
```
24
Lattice="3.2090 0.0000 0.0000 0.0000 10.3159 0.0000 0.0000 -0.0003 12.5629" Properties=species:S:1:pos:R:3 pbc="T T T"
Au 2.4067 6.1567 0.3388
Au 2.4067 9.3170 6.6207
Au 0.8023 4.1589 12.2240
Au 0.8023 0.9985 5.9424
Rb 0.8023 4.3736 3.0216
Rb 2.4068 9.5313 3.2600
Rb 2.4068 5.9421 9.5415
Rb 0.8023 0.7843 9.3028
O 0.8023 3.1167 5.5282
O 0.8023 2.0409 11.8093
O 2.4068 8.2748 0.7532
O 2.4067 5.4013 5.2417
O 0.8023 7.9842 10.5972
O 0.8023 0.2437 1.0400
O 2.4067 10.0722 11.5224
O 0.8022 4.9144 7.3217
O 2.4067 2.8267 8.2463
O 0.8022 7.4889 4.3173
O 2.4068 7.1990 7.0351
O 2.4068 2.3311 1.9646
Nb 2.4068 1.4652 0.3853
Nb 0.8023 8.8505 12.1776
Nb 2.4067 3.6928 6.6665
Nb 0.8022 6.6229 5.8966
```

Values from the calculation:
Its total DFT energy (no corrections) is -6.599 eV/atom.



[9]
Here is NbAuSO after structural relaxation from the Open Quantum Materials Database. Energies are from GGA-PBE.

The structure in extended XYZ format:
```
8
Lattice="-2.4675 -0.6012 1.9094 2.3122 -8.1925 0.4087 3.1154 1.0973 4.3713" Properties=species:S:1:pos:R:3 pbc="T T T"
Nb 0.6277 -1.0763 3.1160
Nb 3.7627 -6.1163 5.5805
O 3.2662 -7.6991 4.4405
O -0.5916 -0.0978 1.8483
Au 3.5224 -4.8062 3.0387
Au 1.1723 -2.5471 0.7130
S 2.0727 -5.2217 1.0345
S 2.8868 -2.0384 3.0888
```

Values from the calculation:
The calculation puts the polymorph energy (0 for the lowest one) at 0 meV per atom.



[10]
Here is NbAuSO after structural relaxation from the Open Quantum Materials Database. Energies are from GGA-PBE.

The structure in extended XYZ format:
```
8
Lattice="-0.6830 2.3179 2.5927 -0.6001 -2.6811 2.2389 10.6552 -0.0233 2.8279" Properties=species:S:1:pos:R:3 pbc="T T T"
Au 4.7068 -1.4430 3.7413
Au 4.6653 1.0565 3.9181
Nb 8.5019 -0.2931 6.1354
Nb 0.8703 -0.0934 1.5240
O -0.6623 1.0682 2.5042
O -0.6208 -1.4314 2.3273
S 1.3934 -0.2776 4.2488
S 7.9788 -0.1090 3.4106
```

Values from the calculation:
The calculation puts the polymorph energy (0 for the lowest one) at 96 meV per atom.



[11]
Here is NbAuSO after structural relaxation from the Open Quantum Materials Database. Energies are from GGA-PBE.

The structure in extended XYZ format:
```
16
Lattice="6.6342 0.0000 0.7000 0.0000 6.8635 0.0000 -0.0667 0.0000 5.7302" Properties=species:S:1:pos:R:3 pbc="T T T"
Au 6.4126 5.5797 3.6444
Au 0.1216 2.1479 5.6509
Au 0.1550 1.2839 2.7858
Au 6.4459 4.7156 0.7793
O 2.7179 5.8914 2.6500
O 3.8830 2.4596 0.9151
O 3.8496 0.9721 3.7802
O 2.6846 4.4039 5.5151
Nb 3.7454 5.7982 4.4660
Nb 3.7787 4.4971 1.6010
Nb 2.8222 1.0653 1.9641
Nb 2.7889 2.3664 4.8292
S 4.8405 3.6282 3.6861
S 1.7271 3.2353 2.7441
S 1.6938 0.1964 5.6092
S 4.8738 6.6671 0.8210
```

Values from the calculation:
The calculation puts the polymorph energy (0 for the lowest one) at 9 meV per atom.



[12]
Here is NbAuSO after structural relaxation from the Open Quantum Materials Database. Energies are from GGA-PBE.

The structure in extended XYZ format:
```
16
Lattice="-3.1963 -2.3609 -6.3763 -3.1669 -6.6171 4.0375 -3.9546 2.5305 1.0454" Properties=species:S:1:pos:R:3 pbc="T T T"
S -3.4557 -3.8569 -2.3534
S -2.5888 -4.2044 1.7670
S -5.3790 -3.5395 0.6680
S -6.2460 -3.1921 -3.4524
Nb -4.6282 -3.4069 3.1871
Nb -4.2065 -3.9896 -4.8726
Nb -3.9643 -5.6423 0.0443
Nb -4.8704 -1.7542 -1.7297
Au -3.5713 -0.6336 0.4733
Au -6.7634 -5.1444 -0.6827
Au -5.2639 -6.7627 -2.1586
Au -2.0718 -2.2518 -1.0026
O -5.4426 -4.8635 3.6325
O -4.4161 -6.8310 1.2131
O -4.4187 -0.5654 -2.8985
O -3.3922 -2.5329 -5.3179
```

Values from the calculation:
The calculation puts the polymorph energy (0 for the lowest one) at 13 meV per atom.



Repeat the ninth record exactly.
Here is NbAuSO after structural relaxation from the Open Quantum Materials Database. Energies are from GGA-PBE.

The structure in extended XYZ format:
```
8
Lattice="-2.4675 -0.6012 1.9094 2.3122 -8.1925 0.4087 3.1154 1.0973 4.3713" Properties=species:S:1:pos:R:3 pbc="T T T"
Nb 0.6277 -1.0763 3.1160
Nb 3.7627 -6.1163 5.5805
O 3.2662 -7.6991 4.4405
O -0.5916 -0.0978 1.8483
Au 3.5224 -4.8062 3.0387
Au 1.1723 -2.5471 0.7130
S 2.0727 -5.2217 1.0345
S 2.8868 -2.0384 3.0888
```

Values from the calculation:
The calculation puts the polymorph energy (0 for the lowest one) at 0 meV per atom.